<a>
First-principles (PBE) data for BaB after structural relaxation, as listed in the Alexandria database.

Lattice parameters (Å, degrees): 11.677 11.677 3.295 90.00 90.00 90.00
Positions (direct):
B1 0.742 0.742 0.500
B2 0.742 0.258 0.500
Ba1 0.743 0.500 0.000
B3 0.258 0.258 0.500
B4 0.258 0.742 0.500
Ba2 0.500 0.743 0.000
B5 0.758 0.758 0.000
Ba3 0.000 0.757 0.500
B6 0.242 0.758 0.000
Ba4 0.257 0.500 0.000
Ba5 0.000 0.243 0.500
Ba6 0.757 0.000 0.500
B7 0.758 0.242 0.000
Ba7 0.500 0.257 0.000
Ba8 0.243 0.000 0.500
B8 0.242 0.242 0.000


<b>
First-principles (PBE) data for BaB after structural relaxation, as listed in the Alexandria database.

Lattice parameters (Å, degrees): 5.375 5.375 6.045 90.00 90.00 120.00
Each line ends with the local moment (μB).
Positions (direct):
Ba1 0.333 0.667 0.750  0.24
Ba2 0.667 0.333 0.250  0.24
B1 0.333 0.667 0.250  0.57
B2 0.667 0.333 0.750  0.57


<c>
First-principles (PBE) data for BaB after structural relaxation, as listed in the Alexandria database.

Lattice parameters (Å, degrees): 9.723 6.148 8.127 90.00 90.00 90.00
Positions (direct):
Ba1 0.811 0.750 0.727
B1 0.532 0.619 0.993
Ba2 0.399 0.750 0.295
B2 0.468 0.381 0.007
Ba3 0.101 0.250 0.795
B3 0.532 0.881 0.993
Ba4 0.601 0.250 0.705
Ba5 0.311 0.750 0.773
Ba6 0.689 0.250 0.227
B4 0.032 0.881 0.507
B5 0.468 0.119 0.007
Ba7 0.189 0.250 0.273
Ba8 0.899 0.750 0.205
B6 0.968 0.381 0.493
B7 0.032 0.619 0.507
B8 0.968 0.119 0.493


<d>
First-principles (PBE) data for BaB after structural relaxation, as listed in the Alexandria database.

Lattice parameters (Å, degrees): 8.371 8.371 8.371 90.00 90.00 90.00
Each line ends with the local moment (μB).
Positions (direct):
B1 0.000 0.500 0.250  0.44
B2 0.750 0.000 0.500  0.44
B3 0.500 0.750 0.000  0.44
Ba1 0.000 0.750 0.500  0.16
B4 0.250 0.000 0.500  0.44
Ba2 0.000 0.250 0.500  0.16
Ba3 0.250 0.500 0.000  0.16
Ba4 0.750 0.500 0.000  0.16
B5 0.500 0.250 0.000  0.44
Ba5 0.500 0.000 0.750  0.16
B6 0.000 0.500 0.750  0.44
Ba6 0.500 0.000 0.250  0.16


Stability order, top to bottom: <c>, <a>, <b>, <d>


<a>
First-principles (PBE) data for BaB12 after structural relaxation, as listed in the Alexandria database.

Lattice parameters (Å, degrees): 5.160 5.160 5.160 90.00 90.00 90.00
Positions (direct):
B1 0.762 0.000 0.500
B2 0.500 0.000 0.762
B3 0.238 0.500 0.000
Ba1 0.500 0.500 0.500
B4 0.500 0.000 0.238
B5 0.000 0.762 0.500
B6 0.000 0.500 0.762
B7 0.500 0.238 0.000
B8 0.000 0.238 0.500
B9 0.000 0.500 0.238
B10 0.762 0.500 0.000
B11 0.238 0.000 0.500
B12 0.500 0.762 0.000


<b>
First-principles (PBE) data for BaB12 after structural relaxation, as listed in the Alexandria database.

Lattice parameters (Å, degrees): 5.493 5.493 5.493 60.00 60.00 60.00
Positions (direct):
B1 0.832 0.168 0.500
B2 0.500 0.832 0.500
B3 0.500 0.832 0.168
B4 0.500 0.168 0.500
B5 0.500 0.500 0.832
B6 0.500 0.168 0.832
B7 0.168 0.500 0.500
B8 0.832 0.500 0.500
B9 0.832 0.500 0.168
Ba1 0.000 0.000 0.000
B10 0.500 0.500 0.168
B11 0.168 0.832 0.500
B12 0.168 0.500 0.832


Stability order, top to bottom: <b>, <a>


<a>
First-principles (PBE) data for BaBeB3 after structural relaxation, as listed in the Alexandria database.

Lattice parameters (Å, degrees): 4.187 4.187 4.187 90.00 90.00 90.00
Positions (direct):
Ba1 0.500 0.500 0.500
B1 0.000 0.000 0.500
Be1 0.000 0.000 0.000
B2 0.000 0.500 0.000
B3 0.500 0.000 0.000


<b>
First-principles (PBE) data for BaBeB3 after structural relaxation, as listed in the Alexandria database.

Lattice parameters (Å, degrees): 4.941 4.941 4.941 90.00 90.00 90.00
Positions (direct):
Ba1 0.000 0.000 0.000
B1 0.500 0.000 0.000
B2 0.000 0.500 0.000
Be1 0.500 0.500 0.500
B3 0.000 0.000 0.500


Stability order, top to bottom: <a>, <b>


<a>
First-principles (PBE) data for BaBi3B after structural relaxation, as listed in the Alexandria database.

Lattice parameters (Å, degrees): 5.317 5.317 5.317 90.00 90.00 90.00
Positions (direct):
Bi1 0.000 0.500 0.000
Bi2 0.500 0.000 0.000
Bi3 0.000 0.000 0.500
Ba1 0.500 0.500 0.500
B1 0.000 0.000 0.000


<b>
First-principles (PBE) data for BaBi3B after structural relaxation, as listed in the Alexandria database.

Lattice parameters (Å, degrees): 6.381 6.381 6.381 90.00 90.00 90.00
Positions (direct):
Bi1 0.500 0.000 0.000
Bi2 0.000 0.500 0.000
Bi3 0.000 0.000 0.500
B1 0.500 0.500 0.500
Ba1 0.000 0.000 0.000


Stability order, top to bottom: <a>, <b>